No. 1
# GGA-PBE SmB2Pt3, relaxed
data_SmB2Pt3
_chemical_formula_sum 'Sm1 B2 Pt3'
_space_group_name_H-M_alt 'P 6/m m m'
_space_group_IT_number 191
_space_group_name_Hall '-P 6 2'
_cell_length_a 5.5011
_cell_length_b 5.5011
_cell_length_c 3.3115
_cell_angle_alpha 90.00
_cell_angle_beta 90.00
_cell_angle_gamma 120.00
loop_
_atom_site_label
_atom_site_type_symbol
_atom_site_fract_x
_atom_site_fract_y
_atom_site_fract_z
Sm1 Sm 0.0000 0.0000 0.0000
B1 B 0.3333 0.6667 0.0000
Pt1 Pt 0.0000 0.5000 0.5000
# Final energy: -39.53 eV for the cell shown



No. 2
# GGA-PBE Lu3Ni4Te, relaxed
data_Lu3Ni4Te
_chemical_formula_sum 'Lu3 Ni4 Te1'
_space_group_name_H-M_alt 'P 1 m 1'
_space_group_IT_number 6
_space_group_name_Hall 'P -2y'
_cell_length_a 5.2773
_cell_length_b 4.0191
_cell_length_c 6.7673
_cell_angle_alpha 90.00
_cell_angle_beta 91.42
_cell_angle_gamma 90.00
loop_
_atom_site_label
_atom_site_type_symbol
_atom_site_fract_x
_atom_site_fract_y
_atom_site_fract_z
Lu1 Lu 0.0000 0.0000 0.0000
Lu2 Lu 0.2444 0.0000 0.5024
Lu3 Lu 0.7471 0.5000 0.3590
Ni1 Ni 0.0102 0.5000 0.7203
Ni2 Ni 0.2369 0.5000 0.2144
Ni3 Ni 0.5043 0.0000 0.1386
Ni4 Ni 0.7408 0.0000 0.6475
Te1 Te 0.4979 0.5000 0.8506
# Final energy: -42.76 eV for the cell shown



No. 3
# GGA-PBE NbCoSnPt, relaxed
data_NbCoSnPt
_chemical_formula_sum 'Nb4 Co4 Sn4 Pt4'
_space_group_name_H-M_alt 'F -4 3 m'
_space_group_IT_number 216
_space_group_name_Hall 'F -4 2 3'
_cell_length_a 6.3969
_cell_length_b 6.3969
_cell_length_c 6.3969
_cell_angle_alpha 90.00
_cell_angle_beta 90.00
_cell_angle_gamma 90.00
loop_
_atom_site_label
_atom_site_type_symbol
_atom_site_fract_x
_atom_site_fract_y
_atom_site_fract_z
Nb1 Nb 0.0000 0.0000 0.0000
Co1 Co 0.0000 0.0000 0.5000
Sn1 Sn 0.2500 0.2500 0.2500
Pt1 Pt 0.2500 0.2500 0.7500
# Final energy: -110.29 eV for the cell shown



No. 4
# GGA-PBE Tl2Fe3Mo2, relaxed
data_Tl2Fe3Mo2
_chemical_formula_sum 'Tl6 Fe9 Mo6'
_space_group_name_H-M_alt 'R 3 m'
_space_group_IT_number 160
_space_group_name_Hall 'R 3 -2"'
_cell_length_a 4.3554
_cell_length_b 4.3554
_cell_length_c 20.6396
_cell_angle_alpha 90.00
_cell_angle_beta 90.00
_cell_angle_gamma 120.00
loop_
_atom_site_label
_atom_site_type_symbol
_atom_site_fract_x
_atom_site_fract_y
_atom_site_fract_z
Tl1 Tl 0.0000 0.0000 0.0000
Tl2 Tl 0.0000 0.0000 0.4853
Fe1 Fe 0.0000 0.0000 0.3599
Fe2 Fe 0.0000 0.0000 0.6153
Fe3 Fe 0.0000 0.0000 0.8678
Mo1 Mo 0.0000 0.0000 0.2363
Mo2 Mo 0.0000 0.0000 0.7433
# Final energy: -141.56 eV for the cell shown



No. 5
# GGA-PBE Dy2ErFe8Co, relaxed
data_Dy2ErFe8Co
_chemical_formula_sum 'Dy6 Er3 Fe24 Co3'
_space_group_name_H-M_alt 'R -3 m'
_space_group_IT_number 166
_space_group_name_Hall '-R 3 2"'
_cell_length_a 5.0446
_cell_length_b 5.0446
_cell_length_c 24.1705
_cell_angle_alpha 90.00
_cell_angle_beta 90.00
_cell_angle_gamma 120.00
loop_
_atom_site_label
_atom_site_type_symbol
_atom_site_fract_x
_atom_site_fract_y
_atom_site_fract_z
Dy1 Dy 0.0000 0.0000 0.1419
Er1 Er 0.0000 0.0000 0.0000
Fe1 Fe 0.0000 0.0000 0.3328
Fe2 Fe 0.9999 0.4999 0.0816
Co1 Co 0.0000 0.0000 0.5000
# E_form: -105.0 meV per atom
# Final energy: -265.81 eV for the cell shown



No. 6
# GGA-PBE KSrHo, relaxed
data_KSrHo
_chemical_formula_sum 'K4 Sr4 Ho4'
_space_group_name_H-M_alt 'F -4 3 m'
_space_group_IT_number 216
_space_group_name_Hall 'F -4 2 3'
_cell_length_a 8.9944
_cell_length_b 8.9944
_cell_length_c 8.9944
_cell_angle_alpha 90.00
_cell_angle_beta 90.00
_cell_angle_gamma 90.00
loop_
_atom_site_label
_atom_site_type_symbol
_atom_site_fract_x
_atom_site_fract_y
_atom_site_fract_z
K1 K 0.0000 0.0000 0.0000
Sr1 Sr 0.0000 0.0000 0.5000
Ho1 Ho 0.2500 0.2500 0.2500
# Final energy: -18.38 eV for the cell shown



No. 7
# GGA-PBE Co2SiP3, relaxed
data_Co2SiP3
_chemical_formula_sum 'Co2 Si1 P3'
_space_group_name_H-M_alt 'P -4 m 2'
_space_group_IT_number 115
_space_group_name_Hall 'P -4 -2'
_cell_length_a 3.8037
_cell_length_b 3.8037
_cell_length_c 5.3766
_cell_angle_alpha 90.00
_cell_angle_beta 90.00
_cell_angle_gamma 90.00
loop_
_atom_site_label
_atom_site_type_symbol
_atom_site_fract_x
_atom_site_fract_y
_atom_site_fract_z
Co1 Co 0.0000 0.5000 0.2497
Si1 Si 0.0000 0.0000 0.5000
P1 P 0.0000 0.0000 0.0000
P2 P 0.5000 0.5000 0.0000
P3 P 0.5000 0.5000 0.5000
# Final energy: -37.46 eV for the cell shown



No. 8
# GGA-PBE GaReO3, relaxed
data_GaReO3
_chemical_formula_sum 'Ga1 Re1 O3'
_space_group_name_H-M_alt 'P 4 m m'
_space_group_IT_number 99
_space_group_name_Hall 'P 4 -2'
_cell_length_a 3.9041
_cell_length_b 3.9041
_cell_length_c 3.8940
_cell_angle_alpha 90.00
_cell_angle_beta 90.00
_cell_angle_gamma 90.00
loop_
_atom_site_label
_atom_site_type_symbol
_atom_site_fract_x
_atom_site_fract_y
_atom_site_fract_z
Ga1 Ga 0.0000 0.0000 0.0000
Re1 Re 0.5000 0.5000 0.5205
O1 O 0.0000 0.5000 0.5242
O2 O 0.5000 0.5000 0.0219
# Final energy: -35.98 eV for the cell shown



Q: The lowest final energy belongs to which entry?
A: Dy2ErFe8Co



Q: Which formula does entry 2 have?
A: Lu3Ni4Te